No. 1
BaSiPb (GGA-PBE, optimized geometry); symmetry = Cmcm, No. 63; offset from the most stable computed form = 0.000 eV/atom
1.0
2.3086 -10.5277 0.0000
2.3086 10.5277 0.0000
0.0000 0.0000 4.0166
Ba Si Pb
2 2 2
direct
0.0961 0.9039 0.7500 Ba
0.9039 0.0961 0.2500 Ba
0.4696 0.5304 0.7500 Si
0.5304 0.4696 0.2500 Si
0.2815 0.7185 0.7500 Pb
0.7185 0.2815 0.2500 Pb


No. 2
BaSi2Pb (GGA-PBE, optimized geometry); symmetry = I4/mmm, No. 139
1.0
-2.4251 2.4251 4.6094
2.4251 -2.4251 4.6094
2.4251 2.4251 -4.6094
Ba Si Pb
1 2 1
direct
0.0000 0.0000 0.0000 Ba
0.2500 0.7500 0.5000 Si
0.7500 0.2500 0.5000 Si
0.5000 0.5000 0.0000 Pb


No. 3
BaSiPb (GGA-PBE, optimized geometry); symmetry = I4mm, No. 107; offset from the most stable computed form = 0.214 eV/atom
1.0
-1.9475 1.9475 6.0673
1.9475 -1.9475 6.0673
1.9475 1.9475 -6.0673
Ba Si Pb
1 1 1
direct
0.0000 0.0000 0.0000 Ba
0.3060 0.3060 0.0000 Si
0.7115 0.7115 0.0000 Pb


No. 4
BaSi3Pb (GGA-PBE, optimized geometry); symmetry = Pm-3m, No. 221; offset from the most stable computed form = 0.796 eV/atom
1.0
5.6181 0.0000 0.0000
0.0000 5.6181 0.0000
0.0000 0.0000 5.6181
Ba Si Pb
1 3 1
direct
0.0000 0.0000 0.0000 Ba
0.0000 0.0000 0.5000 Si
0.0000 0.5000 0.0000 Si
0.5000 0.0000 0.0000 Si
0.5000 0.5000 0.5000 Pb


No. 5
BaSiPb4 (GGA-PBE, optimized geometry); symmetry = F-43m, No. 216
1.0
0.0000 4.6312 4.6312
4.6312 0.0000 4.6312
4.6312 4.6312 0.0000
Ba Si Pb
1 1 4
direct
0.0000 0.0000 0.0000 Ba
0.2500 0.2500 0.2500 Si
0.1271 0.6243 0.6243 Pb
0.6243 0.1271 0.6243 Pb
0.6243 0.6243 0.1271 Pb
0.6243 0.6243 0.6243 Pb


No. 6
Ba6Si2Pb (GGA-PBE, optimized geometry); symmetry = Immm, No. 71
1.0
-5.5423 5.8235 5.9364
5.5423 -5.8235 5.9364
5.5423 5.8235 -5.9364
Ba Si Pb
12 4 2
direct
0.0159 0.2237 0.7922 Ba
0.1824 0.2869 0.4692 Ba
0.1824 0.7131 0.8955 Ba
0.3215 0.0215 0.7000 Ba
0.3215 0.6215 0.3000 Ba
0.4314 0.2237 0.2078 Ba
0.5686 0.7763 0.7922 Ba
0.6785 0.3785 0.7000 Ba
0.6785 0.9785 0.3000 Ba
0.8176 0.2869 0.1045 Ba
0.8176 0.7131 0.5308 Ba
0.9841 0.7763 0.2078 Ba
0.1033 0.6033 0.5000 Si
0.3916 0.0000 0.3916 Si
0.6085 0.0000 0.6085 Si
0.8967 0.3967 0.5000 Si
0.0000 0.0000 0.0000 Pb
0.5000 0.5000 0.0000 Pb


| no. | uncorrected formation energy (eV per atom) |
| --- | --- |
| 1 | -0.3187 |
| 2 | 0.2447 |
| 3 | -0.1047 |
| 4 | 1.5600 |
| 5 | 0.1353 |
| 6 | -0.3449 |